[1]
Crystalline Sn3SbPd6 at its relaxed geometry, computed with PBE.

## Properties
Formation energy (no corrections)   -400 meV/atom

Cell lengths 7.0030, 7.5225, 7.5225 Å; angles 101.36, 90.00, 90.00 degrees
With the nearest neighbours (Å) after each atom.
Element x y z (fractional)
Sn  0.4454  0.9410  0.7035  7 Pd 2.65-2.84
Sn  0.9454  0.7035  0.9410  7 Pd 2.65-2.84
Sn  0.3333  0.4233  0.5767  7 Pd 2.67-2.80
Sn  0.8333  0.5767  0.4233  7 Pd 2.67-2.80
Sn  0.9454  0.0590  0.2965  7 Pd 2.65-2.84
Sn  0.4454  0.2965  0.0590  7 Pd 2.65-2.84
Sb  0.0193  0.2013  0.7987  4 Pd 2.73-2.86
Sb  0.5193  0.7987  0.2013  4 Pd 2.73-2.86
Pd  0.1370  0.7341  0.6407  4 Sn 2.65-2.80, 2 Pd 2.81-2.82
Pd  0.6370  0.6407  0.7341  4 Sn 2.65-2.80, 2 Pd 2.81-2.82
Pd  0.3136  0.5812  0.9364  3 Sn 2.66-2.74, 1 Sb 2.73, 3 Pd 2.81-2.97
Pd  0.8136  0.9364  0.5812  3 Sn 2.66-2.74, 1 Sb 2.73, 3 Pd 2.81-2.97
Pd  0.2151  0.9915  0.0085  4 Sn 2.77-2.84, 2 Sb 2.80-3.09, 3 Pd 3.06-3.10
Pd  0.6257  0.2659  0.7341  3 Sn 2.72-2.75, 4 Pd 2.82-2.84, 1 Sb 2.86
Pd  0.1257  0.7341  0.2659  3 Sn 2.72-2.75, 4 Pd 2.82-2.84, 1 Sb 2.86
Pd  0.7151  0.0085  0.9915  4 Sn 2.77-2.84, 2 Sb 2.80-3.09, 3 Pd 3.06-3.10
Pd  0.3136  0.0636  0.4188  3 Sn 2.66-2.74, 1 Sb 2.73, 3 Pd 2.81-2.97
Pd  0.8136  0.4188  0.0636  3 Sn 2.66-2.74, 1 Sb 2.73, 3 Pd 2.81-2.97
Pd  0.1370  0.3593  0.2659  4 Sn 2.65-2.80, 2 Pd 2.81-2.82
Pd  0.6370  0.2659  0.3593  4 Sn 2.65-2.80, 2 Pd 2.81-2.82

[2]
Crystalline CaAgPdBr6 at its relaxed geometry, computed with PBE.

## Properties
Formation energy (no corrections)   -809 meV/atom

Cell lengths 6.9275, 6.9275, 12.5301 Å; angles 90.00, 90.00, 120.00 degrees
With the nearest neighbours (Å) after each atom.
Element x y z (fractional)
Ca  0.3333  0.6667  0.2500  6 Br 2.91
Ca  0.6667  0.3333  0.7500  6 Br 2.91
Ag  0.0000  0.0000  0.0000  6 Br 2.86
Ag  0.0000  0.0000  0.5000  6 Br 2.86
Pd  0.6667  0.3333  0.2500  6 Br 2.61
Pd  0.3333  0.6667  0.7500  6 Br 2.61
Br  0.6759  0.6407  0.1267  1 Pd 2.61, 1 Ag 2.86, 1 Ca 2.91
Br  0.9648  0.3241  0.1267  1 Pd 2.61, 1 Ag 2.86, 1 Ca 2.91
Br  0.3241  0.9648  0.6267  1 Pd 2.61, 1 Ag 2.86, 1 Ca 2.91
Br  0.0352  0.6759  0.8733  1 Pd 2.61, 1 Ag 2.86, 1 Ca 2.91
Br  0.3593  0.3241  0.3733  1 Pd 2.61, 1 Ag 2.86, 1 Ca 2.91
Br  0.9648  0.6407  0.3733  1 Pd 2.61, 1 Ag 2.86, 1 Ca 2.91
Br  0.6407  0.9648  0.8733  1 Pd 2.61, 1 Ag 2.86, 1 Ca 2.91
Br  0.6759  0.0352  0.3733  1 Pd 2.61, 1 Ag 2.86, 1 Ca 2.91
Br  0.0352  0.3593  0.6267  1 Pd 2.61, 1 Ag 2.86, 1 Ca 2.91
Br  0.3593  0.0352  0.1267  1 Pd 2.61, 1 Ag 2.86, 1 Ca 2.91
Br  0.6407  0.6759  0.6267  1 Pd 2.61, 1 Ag 2.86, 1 Ca 2.91
Br  0.3241  0.3593  0.8733  1 Pd 2.61, 1 Ag 2.86, 1 Ca 2.91

[3]
Crystalline Dy3TlCu at its relaxed geometry, computed with PBE.

## Properties
Formation enthalpy at 0 K   -0.125 eV/atom

Cell lengths 7.6477, 8.5811, 8.5811 Å; angles 82.27, 89.99, 89.99 degrees
With the nearest neighbours (Å) after each atom.
Element x y z (fractional)
Dy  0.5938  0.7960  0.9781  2 Cu 2.86-2.92, 1 Tl 3.14
Dy  0.9062  0.0219  0.2040  2 Cu 2.86-2.92, 1 Tl 3.14
Dy  0.4062  0.2040  0.0219  2 Cu 2.86-2.92, 1 Tl 3.14
Dy  0.0938  0.9781  0.7960  2 Cu 2.86-2.92, 1 Tl 3.14
Dy  0.7917  0.4277  0.0722  3 Cu 2.84-3.08
Dy  0.7083  0.9278  0.5723  3 Cu 2.84-3.08
Dy  0.2083  0.5723  0.9278  3 Cu 2.84-3.08
Dy  0.2917  0.0722  0.4277  3 Cu 2.84-3.08
Dy  0.5936  0.5218  0.7039  2 Cu 2.86-2.92, 1 Tl 3.14
Dy  0.9064  0.2961  0.4782  2 Cu 2.86-2.92, 1 Tl 3.14
Dy  0.4064  0.4782  0.2961  2 Cu 2.86-2.92, 1 Tl 3.14
Dy  0.0936  0.7039  0.5218  2 Cu 2.86-2.92, 1 Tl 3.14
Tl  0.2500  0.8282  0.1718  8 Dy 3.14-3.52
Tl  0.7500  0.1718  0.8282  8 Dy 3.14-3.52
Tl  0.2500  0.3286  0.6714  8 Dy 3.14-3.51
Tl  0.7500  0.6714  0.3286  8 Dy 3.14-3.51
Cu  0.8826  0.6936  0.8062  7 Dy 2.84-3.08
Cu  0.6174  0.1938  0.3064  7 Dy 2.84-3.08
Cu  0.1174  0.3064  0.1938  7 Dy 2.84-3.08
Cu  0.3826  0.8062  0.6936  7 Dy 2.84-3.08

[4]
Crystalline TlSb2Mo at its relaxed geometry, computed with PBE.

## Properties
Formation energy (no corrections)   84 meV/atom
E above lowest polymorph   0 meV/atom

Cell lengths 3.3587, 3.3659, 9.2638 Å; angles 68.18, 90.00, 90.00 degrees
With the nearest neighbours (Å) after each atom.
Element x y z (fractional)
Mo  0.5000  0.7500  0.7500  8 Sb 2.88
Sb  0.0000  0.0578  0.9386  4 Mo 2.88
Sb  0.0000  0.4422  0.5614  4 Mo 2.88
Tl  0.5000  0.2500  0.2500  4 Tl 3.36-3.37, 8 Sb 3.56-3.60

[5]
Crystalline ScP2RuCl at its relaxed geometry, computed with PBE.

## Properties
Formation energy (no corrections)   644 meV/atom
E above lowest polymorph   610 meV/atom

Cell lengths 4.9852, 4.9852, 4.7515 Å; angles 90.00, 90.00, 90.00 degrees
With the nearest neighbours (Å) after each atom.
Element x y z (fractional)
Sc  0.0000  0.0000  0.0000  2 Cl 2.38, 4 P 2.49
Ru  0.5000  0.5000  0.5000  8 P 3.44, 4 Cl 3.53
P  0.0000  0.5000  0.0000  2 Sc 2.49
P  0.5000  0.0000  0.0000  2 Sc 2.49
Cl  0.0000  0.0000  0.5000  2 Sc 2.38

[6]
Crystalline Ce2FeSi3Ir4 at its relaxed geometry, computed with PBE.

## Properties
Formation energy (no corrections)   -906 meV/atom

Cell lengths 4.1270, 4.1270, 10.0914 Å; angles 90.00, 90.00, 90.00 degrees
With the nearest neighbours (Å) after each atom.
Element x y z (fractional)
Ce  0.5000  0.0000  0.2556  8 Ir 3.13-3.30, 6 Si 3.19-3.22, 2 Fe 3.22
Ce  0.0000  0.5000  0.7444  8 Ir 3.13-3.30, 6 Si 3.19-3.22, 2 Fe 3.22
Fe  0.5000  0.5000  0.5000  4 Ir 2.46
Si  0.0000  0.0000  0.5000  4 Ir 2.46
Si  0.5000  0.0000  0.8714  5 Ir 2.40-2.44
Si  0.0000  0.5000  0.1286  5 Ir 2.40-2.44
Ir  0.5000  0.5000  0.0000  4 Si 2.44
Ir  0.0000  0.0000  0.0000  4 Si 2.44
Ir  0.5000  0.0000  0.6334  3 Si 2.40-2.46, 2 Fe 2.46
Ir  0.0000  0.5000  0.3666  3 Si 2.40-2.46, 2 Fe 2.46

[7]
Crystalline Ca2BeCuPt2 at its relaxed geometry, computed with PBE.

## Properties
Formation enthalpy at 0 K   -0.648 eV/atom

Cell lengths 6.0301, 5.9810, 7.7066 Å; angles 112.83, 113.03, 90.00 degrees
With the nearest neighbours (Å) after each atom.
Element x y z (fractional)
Ca  0.4028  0.1654  0.3307  2 Cu 2.97, 5 Pt 3.00-3.30, 2 Be 3.04
Ca  0.5972  0.8346  0.6693  2 Cu 2.97, 5 Pt 3.00-3.30, 2 Be 3.04
Ca  0.0721  0.3346  0.6693  2 Cu 2.97, 5 Pt 3.00-3.30, 2 Be 3.04
Ca  0.9279  0.6654  0.3307  2 Cu 2.97, 5 Pt 3.00-3.30, 2 Be 3.04
Be  0.5000  0.7500  0.0000  4 Pt 2.31
Be  0.5000  0.2500  0.0000  4 Pt 2.31
Cu  0.0000  0.7500  0.0000  4 Pt 2.59
Cu  0.0000  0.2500  0.0000  4 Pt 2.59
Pt  0.8065  0.0944  0.1888  2 Be 2.31
Pt  0.3824  0.5944  0.1888  2 Be 2.31
Pt  0.6176  0.4056  0.8112  2 Be 2.31
Pt  0.1935  0.9056  0.8112  2 Be 2.31

[8]
Crystalline ScTl2Ag at its relaxed geometry, computed with PBE.

## Properties
Formation enthalpy at 0 K   -0.114 eV/atom

Cell lengths 4.7170, 4.7170, 4.0969 Å; angles 90.01, 90.01, 90.00 degrees
With the nearest neighbours (Å) after each atom.
Element x y z (fractional)
Sc  0.0000  0.5000  0.5000  8 Tl 3.12, 4 Ag 3.34
Tl  0.0000  0.0000  0.0000  4 Ag 3.12, 4 Sc 3.12, 4 Tl 3.34
Tl  0.5000  0.5000  0.0000  4 Sc 3.12, 4 Ag 3.12, 4 Tl 3.34
Ag  0.5000  0.0000  0.5000  8 Tl 3.12, 4 Sc 3.34